Entry 1:
OsRu3Cl | GGA-PBE | optimized geometry Values from VASP.

The structure in Quantum ESPRESSO input format:
```
&SYSTEM
  ibrav = 0, nat = 5, ntyp = 3
/
ATOMIC_SPECIES
Os 190.23 Os.upf
Ru 101.07 Ru.upf
Cl 35.45 Cl.upf
CELL_PARAMETERS angstrom
4.7659 0.0000 0.0000
0.0000 4.7659 0.0000
0.0000 0.0000 4.7659
ATOMIC_POSITIONS crystal
Os 0.0000 0.0000 0.0000
Ru 0.0000 0.0000 0.5000
Ru 0.0000 0.5000 0.0000
Ru 0.5000 0.0000 0.0000
Cl 0.5000 0.5000 0.5000
```

Computed properties:
DOS at the Fermi energy in states/eV per atom: 1.38
Offset from the most stable computed form in meV/atom: 257
Electronic total energy in eV/cell: -31.9
Raw formation energy in meV per atom: 1808

Entry 2:
OsRuCl2 | GGA-PBE | optimized geometry Values from VASP.

The structure in Quantum ESPRESSO input format:
```
&SYSTEM
  ibrav = 0, nat = 4, ntyp = 3
/
ATOMIC_SPECIES
Os 190.23 Os.upf
Ru 101.07 Ru.upf
Cl 35.45 Cl.upf
CELL_PARAMETERS angstrom
-1.4317 2.0029 6.7574
1.4317 -2.0029 6.7574
1.4317 2.0029 -6.7574
ATOMIC_POSITIONS crystal
Os 0.0000 0.0000 0.0000
Ru 0.1562 0.6562 0.5000
Cl 0.4546 0.4546 0.0000
Cl 0.7061 0.2061 0.5000
```

Computed properties:
DOS at the Fermi energy in states/eV per atom: 1.29
Offset from the most stable computed form in meV/atom: 784
Electronic total energy in eV/cell: -20.6
Raw formation energy in meV per atom: 889

Entry 3:
OsRu3Cl | GGA-PBE | optimized geometry Values from VASP.

The structure in Quantum ESPRESSO input format:
```
&SYSTEM
  ibrav = 0, nat = 5, ntyp = 3
/
ATOMIC_SPECIES
Os 190.23 Os.upf
Ru 101.07 Ru.upf
Cl 35.45 Cl.upf
CELL_PARAMETERS angstrom
4.2828 0.0000 0.0000
0.0000 4.2828 0.0000
0.0000 0.0000 4.2828
ATOMIC_POSITIONS crystal
Os 0.0000 0.0000 0.0000
Ru 0.0000 0.5000 0.5000
Ru 0.5000 0.0000 0.5000
Ru 0.5000 0.5000 0.0000
Cl 0.5000 0.5000 0.5000
```

Computed properties:
DOS at the Fermi energy in states/eV per atom: 1.50
Offset from the most stable computed form in meV/atom: 0
Electronic total energy in eV/cell: -33.1
Raw formation energy in meV per atom: 1551

Entry 4:
OsRuCl2 | GGA-PBE | optimized geometry Values from VASP.

The structure in Quantum ESPRESSO input format:
```
&SYSTEM
  ibrav = 0, nat = 4, ntyp = 3
/
ATOMIC_SPECIES
Os 190.23 Os.upf
Ru 101.07 Ru.upf
Cl 35.45 Cl.upf
CELL_PARAMETERS angstrom
2.9299 0.0000 0.0000
0.0000 2.9299 0.0000
0.0000 0.0000 8.6618
ATOMIC_POSITIONS crystal
Os 0.0000 0.0000 0.0000
Ru 0.5000 0.5000 0.1809
Cl 0.0000 0.0000 0.3813
Cl 0.5000 0.5000 0.7961
```

Computed properties:
DOS at the Fermi energy in states/eV per atom: 0.82
Offset from the most stable computed form in meV/atom: 163
Electronic total energy in eV/cell: -23.1
Raw formation energy in meV per atom: 268

Entry 5:
OsRuCl2 | GGA-PBE | optimized geometry Values from VASP.

The structure in Quantum ESPRESSO input format:
```
&SYSTEM
  ibrav = 0, nat = 4, ntyp = 3
/
ATOMIC_SPECIES
Os 190.23 Os.upf
Ru 101.07 Ru.upf
Cl 35.45 Cl.upf
CELL_PARAMETERS angstrom
3.1259 -1.8057 0.0000
3.1259 1.8057 0.0000
-0.3896 0.0000 8.4954
ATOMIC_POSITIONS crystal
Os 0.0000 0.0000 0.0000
Ru 0.3419 0.3419 0.1364
Cl 0.6876 0.6876 0.3283
Cl 0.9827 0.9827 0.7394
```

Computed properties:
DOS at the Fermi energy in states/eV per atom: 0.84
Offset from the most stable computed form in meV/atom: 22
Electronic total energy in eV/cell: -23.7
Raw formation energy in meV per atom: 127

Entry 6:
OsRuCl3 | GGA-PBE | optimized geometry Values from VASP.

The structure in Quantum ESPRESSO input format:
```
&SYSTEM
  ibrav = 0, nat = 5, ntyp = 3
/
ATOMIC_SPECIES
Os 190.23 Os.upf
Ru 101.07 Ru.upf
Cl 35.45 Cl.upf
CELL_PARAMETERS angstrom
4.7971 0.0000 0.0000
0.0000 4.7971 0.0000
0.0000 0.0000 4.7971
ATOMIC_POSITIONS crystal
Os 0.0000 0.0000 0.0000
Ru 0.5000 0.5000 0.5000
Cl 0.0000 0.0000 0.5000
Cl 0.0000 0.5000 0.0000
Cl 0.5000 0.0000 0.0000
```

Computed properties:
DOS at the Fermi energy in states/eV per atom: 0.95
Offset from the most stable computed form in meV/atom: 0
Electronic total energy in eV/cell: -20.6
Raw formation energy in meV per atom: 1091